Density functional theory data (PBEsol) for crystalline Sc2AgH at its relaxed geometry.

Output
**VASP energy**: -5.2047 eV/atom
**Magnetic moment**: 0.00 μB/cell

CIF file:
```
data_Sc2AgH
_chemical_formula_sum 'Sc8 Ag4 H4'
_space_group_name_H-M_alt 'I -4 2 d'
_space_group_IT_number 122
_space_group_name_Hall 'I -4 2bw'
_cell_length_a 6.1712
_cell_length_b 6.1712
_cell_length_c 6.8531
_cell_angle_alpha 90.00
_cell_angle_beta 90.00
_cell_angle_gamma 90.00
loop_
_atom_site_label
_atom_site_type_symbol
_atom_site_fract_x
_atom_site_fract_y
_atom_site_fract_z
Sc1 Sc 0.1539 0.7500 0.1250
Ag1 Ag 0.0000 0.0000 0.5000
H1 H 0.0000 0.0000 0.0000
```